First-principles (SCAN) data for a PBEsol-optimized structure of FeAg2Sb, as listed in Alexandria via LeMat-Bulk.

Cell: 3.940 3.940 4.346 Å, 90.00 90.00 90.00°
Each line ends with the local moment (μB).
Element x y z (fractional)
Ag 0.000 0.500 0.000  -0.02
Ag 0.500 0.000 0.000  -0.02
Fe 0.500 0.500 0.500  3.00
Sb 0.000 0.000 0.500  0.04

Properties
As for the total energy: -117.2 eV/cell. The space group is No. 123. As for the formation energy without anion corrections: 0.237 eV per atom.

***

First-principles (SCAN) data for a PBEsol-optimized structure of MnPbS2O8, as listed in Alexandria via LeMat-Bulk.

Cell: 6.733 6.733 13.746 Å, 90.00 90.00 90.00°
Each line ends with the local moment (μB).
Element x y z (fractional)
Mn 0.335 0.665 0.250  4.62
Mn 0.665 0.335 0.750  4.62
Mn 0.165 0.165 0.500  4.62
Mn 0.835 0.835 0.000  4.62
Pb 0.753 0.247 0.250  0.00
Pb 0.247 0.753 0.750  0.00
Pb 0.747 0.747 0.500  0.00
Pb 0.253 0.253 0.000  0.00
S 0.673 0.254 0.508  0.01
S 0.327 0.746 0.008  0.01
S 0.754 0.827 0.758  0.01
S 0.246 0.173 0.258  0.01
S 0.746 0.327 0.992  0.01
S 0.254 0.673 0.492  0.01
S 0.827 0.754 0.242  0.01
S 0.173 0.246 0.742  0.01
O 0.840 0.109 0.515  0.02
O 0.160 0.891 0.015  0.02
O 0.609 0.660 0.765  0.02
O 0.391 0.340 0.265  0.02
O 0.891 0.160 0.985  0.02
O 0.109 0.840 0.485  0.02
O 0.660 0.609 0.235  0.02
O 0.340 0.391 0.735  0.02
O 0.671 0.381 0.597  0.02
O 0.329 0.619 0.097  0.02
O 0.881 0.829 0.847  0.02
O 0.119 0.171 0.347  0.02
O 0.619 0.329 0.903  0.02
O 0.381 0.671 0.403  0.02
O 0.829 0.881 0.153  0.02
O 0.171 0.119 0.653  0.02
O 0.487 0.140 0.496  0.02
O 0.513 0.860 0.996  0.02
O 0.640 0.013 0.746  0.02
O 0.360 0.987 0.246  0.02
O 0.860 0.513 0.004  0.02
O 0.140 0.487 0.504  0.02
O 0.013 0.640 0.254  0.02
O 0.987 0.360 0.754  0.02
O 0.709 0.386 0.423  0.00
O 0.291 0.614 0.923  0.00
O 0.886 0.791 0.673  0.00
O 0.114 0.209 0.173  0.00
O 0.614 0.291 0.077  0.00
O 0.386 0.709 0.577  0.00
O 0.791 0.886 0.327  0.00
O 0.209 0.114 0.827  0.00

Properties
As for the total energy: -736.1 eV/cell. The space group is No. 96. As for the formation energy without anion corrections: -1.740 eV per atom.

***

First-principles (SCAN) data for a PBEsol-optimized structure of Ba2CdSe3, as listed in Alexandria via LeMat-Bulk.

Cell: 4.477 9.208 17.792 Å, 90.00 90.00 90.00°
Element x y z (fractional)
Ba 0.750 0.741 0.540
Ba 0.250 0.759 0.040
Ba 0.750 0.241 0.960
Ba 0.250 0.259 0.460
Ba 0.750 0.076 0.215
Ba 0.250 0.924 0.785
Ba 0.750 0.576 0.285
Ba 0.250 0.424 0.715
Cd 0.250 0.375 0.133
Cd 0.250 0.875 0.367
Cd 0.750 0.625 0.867
Cd 0.750 0.125 0.633
Se 0.750 0.514 0.095
Se 0.250 0.486 0.905
Se 0.750 0.014 0.405
Se 0.250 0.986 0.595
Se 0.750 0.385 0.572
Se 0.250 0.615 0.428
Se 0.750 0.885 0.928
Se 0.250 0.311 0.278
Se 0.750 0.189 0.778
Se 0.250 0.811 0.222
Se 0.750 0.689 0.722
Se 0.250 0.115 0.072

Properties
As for the total energy: -722.0 eV/cell. The space group is No. 62. As for the formation energy without anion corrections: -1.793 eV per atom.

***

First-principles (SCAN) data for a PBEsol-optimized structure of LaMoPb2, as listed in Alexandria via LeMat-Bulk.

Cell: 4.516 4.516 5.932 Å, 112.37 112.37 90.00°
Each line ends with the local moment (μB).
Element x y z (fractional)
La 0.500 0.500 0.000  0.04
Mo 0.250 0.750 0.500  2.94
Pb 0.000 0.000 0.000  -0.04
Pb 0.750 0.250 0.500  -0.04

Properties
As for the total energy: -228.8 eV/cell. The space group is No. 119. Its energy of formation from the pure elements is 0.193 eV per atom. Its relative energy among the computed polymorphs is 112.5 meV per atom.

***

First-principles (SCAN) data for a PBEsol-optimized structure of PuSb, as listed in Alexandria via LeMat-Bulk.

Cell: 3.168 3.943 3.943 Å, 90.00 90.00 90.00°
Each line ends with the local moment (μB).
Element x y z (fractional)
Sb 0.500 0.500 0.500  -0.16
Pu 0.000 0.000 0.000  5.53

Properties
As for the total energy: -148.4 eV/cell. The space group is No. 123. As for the formation energy without anion corrections: -0.494 eV per atom.

***

First-principles (SCAN) data for a PBEsol-optimized structure of As3Rh, as listed in Alexandria via LeMat-Bulk.

Cell: 2.942 2.942 7.943 Å, 90.00 90.00 90.00°
Element x y z (fractional)
As 0.000 0.000 0.799
As 0.500 0.500 0.500
As 0.000 0.000 0.201
Rh 0.500 0.500 0.000

Properties
As for the total energy: -94.2 eV/cell. The space group is No. 123. Its energy of formation from the pure elements is 0.039 eV per atom. Its relative energy among the computed polymorphs is 584.6 meV per atom.

***

Question: What is the formula in the second record?
Answer: MnPbS2O8